NaLiB2Mo: optimized geometry, PBEsol.

The structure in CIF format:
```
data_NaLiB2Mo
_cell_length_a 4.3321
_cell_length_b 4.3321
_cell_length_c 4.6137
_cell_angle_alpha 90.00
_cell_angle_beta 90.00
_cell_angle_gamma 90.00
_symmetry_space_group_name_H-M 'P 4/m m m'
_symmetry_Int_Tables_number 123
_symmetry_space_group_name_Hall '-P 4 2'
loop_
_atom_site_label
_atom_site_type_symbol
_atom_site_fract_x
_atom_site_fract_y
_atom_site_fract_z
_atom_site_occupancy
Na1 Na 0.0000 0.0000 0.0000 1
Li1 Li 0.5000 0.5000 0.5000 1
B1 B 0.0000 0.5000 0.0000 1
Mo1 Mo 0.0000 0.0000 0.5000 1
```

**D(E_F)**: 2.52 states/eV/f.u.
**Total magnetization**: 0.54 μB/atom
**DFT formation energy**: 2.711 eV per atom